A plane-wave DFT calculation with GGA-PBE was carried out for crystalline TaAlAg2Bi at its relaxed geometry.

Energy of formation from the pure elements   1.67 eV per atom
Calculated total energy   -16.82 eV per formula unit

Lattice parameters (Å, degrees): 5.2258 5.2258 5.4452 90.00 90.00 90.00
Last column: nearest neighbours and their distance in Å.
Space group P4/mmm (No. 123)
Inequivalent atoms, fractional coordinates:
Ta 0.0000 0.0000 0.0000  4 Al 3.70, 8 Ag 3.77
Al 0.5000 0.5000 0.0000  2 Bi 2.72
Ag 0.0000 0.5000 0.5000  2 Bi 2.61
Bi 0.5000 0.5000 0.5000  4 Ag 2.61, 2 Al 2.72